Entry 1:
VASP calculation (PBE) on CsRbAg4F6 after structural relaxation.

Properties
* ΔE_f (raw): -1.252 eV/atom
* SG: No. 191

Lattice parameters (Å, degrees): 7.3532 7.3532 8.5462 90.00 90.00 120.00
Atoms (fractional coordinates):
Cs 0.0000 0.0000 0.0000
Rb 0.0000 0.0000 0.5000
Ag 0.6667 0.3333 0.1665
Ag 0.3333 0.6667 0.1665
Ag 0.3333 0.6667 0.8335
Ag 0.6667 0.3333 0.8335
F 0.5000 0.5000 0.2348
F 0.5000 0.5000 0.7652
F 0.5000 0.0000 0.2348
F 0.0000 0.5000 0.2348
F 0.5000 0.0000 0.7652
F 0.0000 0.5000 0.7652

***

Entry 2:
VASP calculation (PBE) on Ca2Os after structural relaxation.

Properties
* ΔE_f: 0.6248 eV per atom
* SG: No. 164

Lattice parameters (Å, degrees): 3.4136 3.4136 7.7067 90.00 90.00 120.00
Atoms (fractional coordinates):
Ca 0.6667 0.3333 0.7316
Ca 0.3333 0.6667 0.2684
Os 0.0000 0.0000 0.0000

***

Entry 3:
VASP calculation (PBE) on Ba3PuIn2O9 after structural relaxation.

Properties
* ΔE_f (raw): -2.375 eV/atom
* SG: No. 164

Lattice parameters (Å, degrees): 6.0699 6.0699 7.4527 90.00 90.00 120.00
Last column: magnetic moment on the atom in μB.
Atoms (fractional coordinates):
Ba 0.3333 0.6667 0.6936  0.00
Ba 0.0000 0.0000 0.0000  0.00
Ba 0.6667 0.3333 0.3064  0.00
Pu 0.0000 0.0000 0.5000  2.44
In 0.3333 0.6667 0.1616  -0.01
In 0.6667 0.3333 0.8384  -0.01
O 0.8387 0.1613 0.6606  -0.06
O 0.8387 0.6774 0.6606  -0.06
O 0.3226 0.1613 0.6606  -0.06
O 0.6774 0.8387 0.3394  -0.06
O 0.1613 0.3226 0.3394  -0.06
O 0.1613 0.8387 0.3394  -0.06
O 0.5000 0.0000 0.0000  -0.01
O 0.0000 0.5000 0.0000  -0.01
O 0.5000 0.5000 0.0000  -0.01

***

Entry 4:
VASP calculation (PBE) on LiAc3Os after structural relaxation.

Properties
* ΔE_f: 0.0474 eV per atom
* distance to the lowest polymorph of the same formula: 38 meV per atom
* SG: No. 221

Lattice parameters (Å, degrees): 5.8779 5.8779 5.8779 90.00 90.00 90.00
Atoms (fractional coordinates):
Ac 0.0000 0.5000 0.0000
Ac 0.0000 0.0000 0.5000
Ac 0.5000 0.0000 0.0000
Os 0.0000 0.0000 0.0000
Li 0.5000 0.5000 0.5000

***

no.,M_tot (μB/cell)
1,0.000
2,0.000
3,2.000
4,0.000